Here is a relaxed structure of AlHg2Pb from Alexandria. Energies are from PBE-GGA.

- Final energy: -7.521 eV/f.u.

Cell lengths 9.060, 9.060, 9.060 Å; angles 23.35, 23.35, 23.35 degrees
Fractional positions:
1 Pb 0.493 0.493 0.493
2 Hg 0.008 0.008 0.008
3 Hg 0.255 0.255 0.255
4 Al 0.744 0.744 0.744

Here is a relaxed structure of AlHg2Pb from Alexandria. Energies are from PBE-GGA.

- Final energy: -7.536 eV/f.u.

Cell lengths 3.393, 3.393, 9.477 Å; angles 90.00, 90.00, 112.36 degrees
Fractional positions:
1 Pb 0.500 0.500 0.250
2 Hg 0.000 0.000 0.970
3 Hg 0.000 0.000 0.530
4 Al 0.500 0.500 0.750

Here is a relaxed structure of AlHg2Pb from Alexandria. Energies are from PBE-GGA.

- Final energy: -7.665 eV/f.u.

Cell lengths 9.158, 9.158, 9.158 Å; angles 22.68, 22.68, 22.68 degrees
Fractional positions:
1 Pb 0.250 0.250 0.250
2 Hg 0.012 0.012 0.012
3 Hg 0.488 0.488 0.488
4 Al 0.750 0.750 0.750

Here is a relaxed structure of AlHg2Pb from Alexandria. Energies are from PBE-GGA.

- Final energy: -7.485 eV/f.u.

Cell lengths 8.144, 8.144, 6.557 Å; angles 51.61, 51.61, 90.00 degrees
Fractional positions:
1 Pb 0.000 0.000 0.000
2 Pb 0.750 0.250 0.500
3 Hg 0.583 0.125 0.250
4 Hg 0.167 0.625 0.250
5 Hg 0.375 0.417 0.750
6 Hg 0.875 0.833 0.750
7 Al 0.500 0.500 0.000
8 Al 0.250 0.750 0.500

Here is a relaxed structure of AlHg2Pb from Alexandria. Energies are from PBE-GGA.

- Final energy: -7.485 eV/f.u.

Cell lengths 4.557, 3.502, 6.473 Å; angles 79.40, 90.00, 90.00 degrees
Fractional positions:
1 Pb 0.500 0.250 0.250
2 Hg 0.000 0.905 0.980
3 Hg 0.000 0.595 0.520
4 Al 0.500 0.750 0.750

Here is a relaxed structure of AlHg2Pb from Alexandria. Energies are from PBE-GGA.

- Final energy: -7.305 eV/f.u.

Cell lengths 4.605, 4.652, 4.652 Å; angles 90.00, 90.00, 90.00 degrees
Fractional positions:
1 Pb 0.500 0.500 0.000
2 Hg 0.000 0.000 0.000
3 Hg 0.000 0.500 0.500
4 Al 0.500 0.000 0.500

Here is a relaxed structure of AlHg2Pb from Alexandria. Energies are from PBE-GGA.

- Final energy: -7.477 eV/f.u.

Cell lengths 3.620, 3.623, 7.609 Å; angles 90.00, 90.00, 90.00 degrees
Fractional positions:
1 Pb 0.000 0.000 0.512
2 Hg 0.000 0.000 0.974
3 Hg 0.500 0.500 0.227
4 Al 0.500 0.500 0.787

Here is a relaxed structure of AlHg2Pb from Alexandria. Energies are from PBE-GGA.

- Final energy: -7.301 eV/f.u.

Cell lengths 3.464, 5.340, 5.523 Å; angles 90.00, 90.00, 90.00 degrees
Fractional positions:
1 Pb 0.500 0.000 0.500
2 Hg 0.000 0.000 0.000
3 Hg 0.500 0.500 0.000
4 Al 0.000 0.500 0.500

no.,energy of formation (eV/atom)
1,0.13
2,0.13
3,0.10
4,0.14
5,0.14
6,0.19
7,0.14
8,0.19